The following is a PBE calculation of BaPmGe2 after structural relaxation, from Alexandria.

Computed properties:
Density   5.5 g/cm3
Electronic total energy   -4.39 eV per atom
Calculated volume   129 Å³/f.u.

Geometry as POSCAR:
```
BaPmGe2
1.0
-2.1483 -4.1062 1.4205
0.8780 -4.1385 -2.3656
4.4463 -3.9458 3.5876
Ba Ge Pm
1 2 1
Direct
0.0000 0.0000 0.0000
0.2240 0.2240 0.3279
0.7760 0.7760 0.6721
0.5000 0.5000 0.5000
```


The following is a PBE calculation of BaPmGe after structural relaxation, from Alexandria.

Computed properties:
Energy above the lowest structure with this stoichiometry   138 meV/atom
Density   5.4 g/cm3
Calculated volume   108 Å³/f.u.

Geometry as POSCAR:
```
BaPmGe
1.0
-2.4411 -0.9587 -4.2276
4.3667 -0.5986 -2.3857
-2.2257 -3.9280 2.1759
Ge Pm Ba
1 1 1
Direct
0.1202 0.0000 0.0000
0.1970 0.3333 0.6667
0.6828 0.6667 0.3333
```


The following is a PBE calculation of BaPm8Ge6 after structural relaxation, from Alexandria.

Computed properties:
Density   6.2 g/cm3
Electronic total energy   -5.06 eV per atom
Calculated volume   466 Å³/f.u.

Geometry as POSCAR:
```
BaPm8Ge6
1.0
8.2299 0.0000 0.0000
4.1150 7.1273 0.0000
4.1150 2.3758 7.9463
Ge Pm Ba
6 8 1
Direct
0.7194 0.4283 0.7759
0.0764 0.7194 0.7759
0.4283 0.0764 0.7759
0.9236 0.2806 0.2241
0.5717 0.9236 0.2241
0.2806 0.5717 0.2241
0.4339 0.8011 0.6450
0.8011 0.1200 0.6450
0.1200 0.4339 0.6450
0.5661 0.1989 0.3550
0.6666 0.6666 0.0001
0.3334 0.3334 0.9999
0.1989 0.8800 0.3550
0.8800 0.5661 0.3550
0.0000 0.0000 0.0000
```